# 1
! PBE-GGA PrTl2GaI6, optimized geometry; values from VASP
&SYSTEM
  ibrav = 0, nat = 10, ntyp = 4
/
ATOMIC_SPECIES
Pr 140.91 Pr.upf
Tl 204.38 Tl.upf
Ga 69.72 Ga.upf
I 126.90 I.upf
CELL_PARAMETERS angstrom
4.285 2.474 7.416
-4.285 2.474 7.416
0.000 -4.948 7.416
ATOMIC_POSITIONS angstrom
Pr 0.000 0.000 0.000
Tl 0.000 0.000 6.781
Tl 0.000 0.000 17.776
Ga 0.000 0.000 11.227
I -0.928 -2.482 9.127
I -2.791 -0.460 12.878
I -1.686 2.045 9.127
I 1.794 -2.187 12.878
I 2.614 0.437 9.127
I 0.997 2.647 12.878
! Formation energy from raw total energies = -895 meV per atom
! Space-group type = R3, No. 146
! V = 47.2 Å³/atom
! Magnetic moment = 0.000 Bohr magnetons per cell

=====

# 2
! PBE-GGA Pr8Tl3GaI4, optimized geometry; values from VASP
&SYSTEM
  ibrav = 0, nat = 16, ntyp = 4
/
ATOMIC_SPECIES
Pr 140.91 Pr.upf
Tl 204.38 Tl.upf
Ga 69.72 Ga.upf
I 126.90 I.upf
CELL_PARAMETERS angstrom
4.567 2.637 7.519
-4.567 2.637 7.519
0.000 -5.273 7.519
ATOMIC_POSITIONS angstrom
Pr 0.000 0.000 5.509
Pr -2.202 -1.271 12.942
Pr 0.000 -2.543 9.616
Pr -2.202 1.271 9.616
Pr 2.202 -1.271 12.942
Pr 0.000 2.543 12.942
Pr 2.202 1.271 9.616
Pr 0.000 0.000 17.049
Tl -4.567 0.000 11.279
Tl -2.283 1.318 3.760
Tl 2.283 1.318 3.760
Ga 0.000 0.000 11.279
I 0.000 0.000 0.000
I -2.283 -1.318 7.519
I -2.283 1.318 15.038
I 0.000 2.637 7.519
! Formation energy from raw total energies = -665 meV per atom
! Space-group type = R-3m, No. 166
! V = 33.9 Å³/atom
! Magnetic moment = 0.000 Bohr magnetons per cell

=====

# 3
! PBE-GGA Pr8ZnGa3I4, optimized geometry; values from VASP
&SYSTEM
  ibrav = 0, nat = 16, ntyp = 4
/
ATOMIC_SPECIES
Pr 140.91 Pr.upf
Zn 65.41 Zn.upf
Ga 69.72 Ga.upf
I 126.90 I.upf
CELL_PARAMETERS angstrom
7.584 -4.370 0.000
7.584 4.370 0.000
-5.064 0.000 7.716
ATOMIC_POSITIONS angstrom
Pr 3.776 2.200 5.529
Pr -0.007 0.000 5.501
Pr 2.508 0.000 2.187
Pr 6.326 2.200 2.188
Pr 3.776 -2.200 5.529
Pr 7.594 0.000 5.529
Pr 10.110 0.000 2.216
Pr 6.326 -2.200 2.188
Zn 5.051 0.000 3.858
Ga -2.532 0.000 3.858
Ga 1.260 2.185 3.858
Ga 1.260 -2.185 3.858
I 0.000 0.000 0.000
I 3.792 2.185 0.000
I 3.792 -2.185 0.000
I 7.584 0.000 0.000
! Formation energy from raw total energies = -721 meV per atom
! Space-group type = C2/m, No. 12
! V = 32.0 Å³/atom
! Magnetic moment = 0.000 Bohr magnetons per cell